BaHg2Cl at its PBEsol-relaxed geometry. Source: Alexandria, functional SCAN.

## Properties
ρ	8.0	g/cm3
relative energy among the computed polymorphs	0	meV per atom
energy relative to the elements, uncorrected	-1.124	eV per atom

abc: 6.080 6.190 6.310
angles: 90.00 90.00 90.00
Space group Cmmm (No. 65)
Symmetry-distinct sites (fractional):
1 Ba 0.000 0.000 0.000 x2
2 Hg 0.000 0.257 0.500 x4
3 Cl 0.000 0.500 0.000 x2

Ba2HgCl2 at its PBEsol-relaxed geometry. Source: Alexandria, functional SCAN.

## Properties
ρ	5.3	g/cm3
energy relative to the elements, uncorrected	-1.626	eV per atom

abc: 5.983 5.983 9.631
angles: 90.00 90.00 90.00
Space group I4/mmm (No. 139)
Symmetry-distinct sites (fractional):
1 Ba 0.000 0.500 0.250 x4
2 Hg 0.000 0.000 0.000 x2
3 Cl 0.000 0.000 0.328 x4

Ba2HgCl at its PBEsol-relaxed geometry. Source: Alexandria, functional SCAN.

## Properties
ρ	5.8	g/cm3
relative energy among the computed polymorphs	0	meV per atom
energy relative to the elements, uncorrected	-1.327	eV per atom

abc: 4.6115 4.6115 23.8605
angles: 90.00 90.00 120.00
Space group R-3m (No. 166, hexagonal axes)
Symmetry-distinct sites (fractional):
1 Ba 0.0000 0.0000 0.2460 x6
2 Hg 0.0000 0.0000 0.0000 x3
3 Cl 0.0000 0.0000 0.5000 x3

Q: energy relative to the elements, uncorrected of number 3 (Ba2HgCl)?
A: -1.327 eV per atom

Q: Number 1 is which compound?
A: BaHg2Cl

Q: Which of these has the highest ρ?
A: BaHg2Cl